CsDyBr4 | GGA-PBE | relaxed

Structure (POSCAR):
```
CsDyBr4
1.0
8.796 -3.542 0.000
8.796 3.542 0.000
-2.223 0.000 7.598
Cs Dy Br
2 2 8
direct
0.186 0.814 0.750
0.814 0.186 0.250
0.000 0.500 0.000
0.500 0.000 0.500
0.128 0.270 0.661
0.270 0.128 0.161
0.277 0.528 0.061
0.472 0.723 0.439
0.528 0.277 0.561
0.723 0.472 0.939
0.730 0.872 0.839
0.872 0.730 0.339
```

E above lowest polymorph: 0.00 eV/f.u.
uncorrected formation energy: -1.846 eV/atom
magnetic moment: 0.00 μB per cell
space-group type: No. 15
DOS at the Fermi energy: 0.0000 states/eV/atom
total energy: -3.871 eV per atom